1.
A geometry-optimized ErThMgMo structure, computed with PBE-GGA.

Computed properties:
E_form = 0.1691 eV/atom
calculated volume = 96 Å³/f.u.
density = 8.98 g/cm³
M_tot = 0.0 μB per formula unit
crystal system = cubic
energy = -5.93 eV per atom

Structure (extended XYZ):
```
4
Lattice="0.000 3.635 3.635 3.635 0.000 3.635 3.635 3.635 0.000" Properties=species:S:1:pos:R:3 pbc="T T T"
Er 0.000 0.000 0.000
Th 3.635 3.635 3.635
Mg 5.453 5.453 5.453
Mo 1.818 1.818 1.818
```

---

2.
A geometry-optimized Y2PAu2 structure, computed with PBE-GGA.

Computed properties:
E_form = -0.7021 eV/atom
calculated volume = 113 Å³/f.u.
density = 8.87 g/cm³
M_tot = 0.0 μB per formula unit
crystal system = tetragonal
energy = -5.68 eV per atom

Structure (extended XYZ):
```
10
Lattice="7.519 0.000 0.000 0.000 7.519 0.000 0.000 0.000 3.992" Properties=species:S:1:pos:R:3 pbc="T T T"
Y 1.309 2.451 0.000
Y 2.451 6.210 0.000
Y 5.068 1.309 0.000
Y 6.210 5.068 0.000
P 0.000 0.000 1.996
P 3.760 3.760 1.996
Au 0.976 4.735 1.996
Au 2.784 0.976 1.996
Au 4.735 6.543 1.996
Au 6.543 2.784 1.996
```

---

3.
A geometry-optimized Ba4SnAuI2 structure, computed with PBE-GGA.

Computed properties:
formation energy (no corrections) = -1.042 eV/atom
calculated volume = 365 Å³/f.u.
density = 5.09 g/cm³
M_tot = 0.0 μB per formula unit
crystal system = monoclinic
energy = -3.30 eV per atom

Structure (extended XYZ):
```
8
Lattice="8.332 0.000 0.000 0.000 5.030 0.000 -2.897 0.000 8.705" Properties=species:S:1:pos:R:3 pbc="T T T"
Ba 1.347 0.000 1.891
Ba -0.106 2.515 6.815
Ba 5.540 2.515 1.890
Ba 4.087 0.000 6.814
Sn 4.166 0.000 0.000
Au 0.000 2.515 0.000
I -1.449 0.000 4.352
I 2.717 2.515 4.352
```